No. 1
Crystalline Rb3Sn2Te4 at its relaxed geometry, computed with PBE.

```
data_Rb3Sn2Te4
_chemical_formula_sum 'Rb6 Sn4 Te8'
_space_group_name_H-M_alt 'P 1'
_space_group_IT_number 1
_cell_length_a 9.5209
_cell_length_b 9.5209
_cell_length_c 9.5361
_cell_angle_alpha 96.43
_cell_angle_beta 96.43
_cell_angle_gamma 82.06
loop_
_space_group_symop_operation_xyz
'x,y,z'
loop_
_atom_site_label
_atom_site_type_symbol
_atom_site_fract_x
_atom_site_fract_y
_atom_site_fract_z
Rb1 Rb 0.1236 0.8764 0.7500
Rb2 Rb 0.2307 0.4784 0.3626
Rb3 Rb 0.4784 0.2307 0.8626
Rb4 Rb 0.5216 0.7693 0.1374
Rb5 Rb 0.7693 0.5216 0.6374
Rb6 Rb 0.8764 0.1236 0.2500
Sn1 Sn 0.0672 0.3132 0.9114
Sn2 Sn 0.3132 0.0672 0.4114
Sn3 Sn 0.6868 0.9328 0.5886
Sn4 Sn 0.9328 0.6868 0.0886
Te1 Te 0.1115 0.2255 0.6011
Te2 Te 0.2151 0.5663 0.9792
Te3 Te 0.2255 0.1115 0.1011
Te4 Te 0.4337 0.7849 0.5208
Te5 Te 0.5663 0.2151 0.4792
Te6 Te 0.7745 0.8885 0.8989
Te7 Te 0.7849 0.4337 0.0208
Te8 Te 0.8885 0.7745 0.3989
```

Formation energy without anion corrections, kcal/mol of atoms: -15.44
Magnetic moment, μB/cell: 0.0

---

No. 2
Crystalline RbSn2Te2 at its relaxed geometry, computed with PBE.

```
data_RbSn2Te2
_chemical_formula_sum 'Rb2 Sn4 Te4'
_space_group_name_H-M_alt 'P 1'
_space_group_IT_number 1
_cell_length_a 8.2512
_cell_length_b 8.2512
_cell_length_c 7.4948
_cell_angle_alpha 104.39
_cell_angle_beta 104.39
_cell_angle_gamma 121.83
loop_
_space_group_symop_operation_xyz
'x,y,z'
loop_
_atom_site_label
_atom_site_type_symbol
_atom_site_fract_x
_atom_site_fract_y
_atom_site_fract_z
Rb1 Rb 0.1725 0.8275 0.7500
Rb2 Rb 0.8275 0.1725 0.2500
Sn1 Sn 0.1608 0.3200 0.9445
Sn2 Sn 0.3200 0.1608 0.4445
Sn3 Sn 0.6800 0.8392 0.5555
Sn4 Sn 0.8392 0.6800 0.0555
Te1 Te 0.2767 0.7233 0.2500
Te2 Te 0.4250 0.5750 0.7500
Te3 Te 0.5750 0.4250 0.2500
Te4 Te 0.7233 0.2767 0.7500
```

Formation energy without anion corrections, kcal/mol of atoms: -8.49
Distance to the lowest polymorph of the same formula, kcal/mol of atoms: 1.31
Magnetic moment, μB/cell: 0.0

---

No. 3
Crystalline RbSn2Te2 at its relaxed geometry, computed with PBE.

```
data_RbSn2Te2
_chemical_formula_sum 'Rb2 Sn4 Te4'
_space_group_name_H-M_alt 'P 1'
_space_group_IT_number 1
_cell_length_a 9.4038
_cell_length_b 9.4038
_cell_length_c 4.1695
_cell_angle_alpha 90.00
_cell_angle_beta 90.00
_cell_angle_gamma 90.00
loop_
_space_group_symop_operation_xyz
'x,y,z'
loop_
_atom_site_label
_atom_site_type_symbol
_atom_site_fract_x
_atom_site_fract_y
_atom_site_fract_z
Rb1 Rb 0.0000 0.0000 0.0000
Rb2 Rb 0.5000 0.5000 0.0000
Sn1 Sn 0.1139 0.3861 0.5000
Sn2 Sn 0.3861 0.8861 0.5000
Sn3 Sn 0.6139 0.1139 0.5000
Sn4 Sn 0.8861 0.6139 0.5000
Te1 Te 0.1534 0.6534 0.0000
Te2 Te 0.3466 0.1534 0.0000
Te3 Te 0.6534 0.8466 0.0000
Te4 Te 0.8466 0.3466 0.0000
```

Formation energy without anion corrections, kcal/mol of atoms: -5.99
Distance to the lowest polymorph of the same formula, kcal/mol of atoms: 3.81
Magnetic moment, μB/cell: 0.0

---

No. 4
Crystalline RbSn2Te2 at its relaxed geometry, computed with PBE.

```
data_RbSn2Te2
_chemical_formula_sum 'Rb1 Sn2 Te2'
_space_group_name_H-M_alt 'P 1'
_space_group_IT_number 1
_cell_length_a 6.8308
_cell_length_b 6.8308
_cell_length_c 6.8308
_cell_angle_alpha 128.62
_cell_angle_beta 128.62
_cell_angle_gamma 75.63
loop_
_space_group_symop_operation_xyz
'x,y,z'
loop_
_atom_site_label
_atom_site_type_symbol
_atom_site_fract_x
_atom_site_fract_y
_atom_site_fract_z
Rb1 Rb 0.0000 0.0000 0.0000
Sn1 Sn 0.3501 0.3501 0.0000
Sn2 Sn 0.6499 0.6499 0.0000
Te1 Te 0.2500 0.7500 0.5000
Te2 Te 0.7500 0.2500 0.5000
```

Formation energy without anion corrections, kcal/mol of atoms: -9.80
Distance to the lowest polymorph of the same formula, kcal/mol of atoms: 0.00
Magnetic moment, μB/cell: 0.0

---

No. 5
Crystalline Rb5SnTe5 at its relaxed geometry, computed with PBE.

```
data_Rb5SnTe5
_chemical_formula_sum 'Rb5 Sn1 Te5'
_space_group_name_H-M_alt 'P 1'
_space_group_IT_number 1
_cell_length_a 9.0460
_cell_length_b 9.0460
_cell_length_c 9.9253
_cell_angle_alpha 108.29
_cell_angle_beta 108.29
_cell_angle_gamma 45.63
loop_
_space_group_symop_operation_xyz
'x,y,z'
loop_
_atom_site_label
_atom_site_type_symbol
_atom_site_fract_x
_atom_site_fract_y
_atom_site_fract_z
Rb1 Rb 0.0000 0.0000 0.0000
Rb2 Rb 0.3030 0.3030 0.1967
Rb3 Rb 0.3312 0.3312 0.6591
Rb4 Rb 0.6688 0.6688 0.3409
Rb5 Rb 0.6970 0.6970 0.8033
Sn1 Sn 0.0000 0.0000 0.5000
Te1 Te 0.1292 0.1292 0.3643
Te2 Te 0.1385 0.1385 0.7859
Te3 Te 0.5000 0.5000 0.5000
Te4 Te 0.8615 0.8615 0.2141
Te5 Te 0.8708 0.8708 0.6357
```

Formation energy without anion corrections, kcal/mol of atoms: -13.97
Magnetic moment, μB/cell: 0.9

---

No. 6
Crystalline Rb2SnTe2 at its relaxed geometry, computed with PBE.

```
data_Rb2SnTe2
_chemical_formula_sum 'Rb4 Sn2 Te4'
_space_group_name_H-M_alt 'P 1'
_space_group_IT_number 1
_cell_length_a 9.3593
_cell_length_b 9.3593
_cell_length_c 9.3593
_cell_angle_alpha 127.95
_cell_angle_beta 74.05
_cell_angle_gamma 131.29
loop_
_space_group_symop_operation_xyz
'x,y,z'
loop_
_atom_site_label
_atom_site_type_symbol
_atom_site_fract_x
_atom_site_fract_y
_atom_site_fract_z
Rb1 Rb 0.1424 0.1682 0.3106
Rb2 Rb 0.3576 0.6682 0.0258
Rb3 Rb 0.6424 0.3318 0.9742
Rb4 Rb 0.8576 0.8318 0.6894
Sn1 Sn 0.2500 0.7500 0.5000
Sn2 Sn 0.7500 0.2500 0.5000
Te1 Te 0.1120 0.7176 0.8296
Te2 Te 0.3880 0.2176 0.6056
Te3 Te 0.6120 0.7824 0.3944
Te4 Te 0.8880 0.2824 0.1704
```

Formation energy without anion corrections, kcal/mol of atoms: -16.37
Distance to the lowest polymorph of the same formula, kcal/mol of atoms: 0.83
Magnetic moment, μB/cell: 0.0

---

No. 7
Crystalline RbSn2Te at its relaxed geometry, computed with PBE.

```
data_RbSn2Te
_chemical_formula_sum 'Rb2 Sn4 Te2'
_space_group_name_H-M_alt 'P 1'
_space_group_IT_number 1
_cell_length_a 7.4755
_cell_length_b 7.4755
_cell_length_c 7.4755
_cell_angle_alpha 101.79
_cell_angle_beta 101.79
_cell_angle_gamma 126.24
loop_
_space_group_symop_operation_xyz
'x,y,z'
loop_
_atom_site_label
_atom_site_type_symbol
_atom_site_fract_x
_atom_site_fract_y
_atom_site_fract_z
Rb1 Rb 0.0000 0.0000 0.0000
Rb2 Rb 0.7500 0.2500 0.5000
Sn1 Sn 0.1737 0.6250 0.0487
Sn2 Sn 0.3750 0.4237 0.5487
Sn3 Sn 0.5763 0.1250 0.9513
Sn4 Sn 0.8750 0.8263 0.4513
Te1 Te 0.2500 0.7500 0.5000
Te2 Te 0.5000 0.5000 0.0000
```

Formation energy without anion corrections, kcal/mol of atoms: -2.09
Magnetic moment, μB/cell: 0.0

---

No. 8
Crystalline RbSnTe at its relaxed geometry, computed with PBE.

```
data_RbSnTe
_chemical_formula_sum 'Rb2 Sn2 Te2'
_space_group_name_H-M_alt 'P 1'
_space_group_IT_number 1
_cell_length_a 7.5583
_cell_length_b 7.5583
_cell_length_c 9.7561
_cell_angle_alpha 122.91
_cell_angle_beta 122.91
_cell_angle_gamma 33.40
loop_
_space_group_symop_operation_xyz
'x,y,z'
loop_
_atom_site_label
_atom_site_type_symbol
_atom_site_fract_x
_atom_site_fract_y
_atom_site_fract_z
Rb1 Rb 0.1806 0.1806 0.1733
Rb2 Rb 0.8194 0.8194 0.8267
Sn1 Sn 0.0821 0.0821 0.4597
Sn2 Sn 0.9179 0.9179 0.5403
Te1 Te 0.4632 0.4632 0.2143
Te2 Te 0.5368 0.5368 0.7857
```

Formation energy without anion corrections, kcal/mol of atoms: -12.62
Distance to the lowest polymorph of the same formula, kcal/mol of atoms: 0.00
Magnetic moment, μB/cell: 0.0

---

No. 9
Crystalline RbSn4Te5 at its relaxed geometry, computed with PBE.

```
data_RbSn4Te5
_chemical_formula_sum 'Rb2 Sn8 Te10'
_space_group_name_H-M_alt 'P 1'
_space_group_IT_number 1
_cell_length_a 8.6171
_cell_length_b 10.7201
_cell_length_c 8.8627
_cell_angle_alpha 90.00
_cell_angle_beta 90.00
_cell_angle_gamma 90.00
loop_
_space_group_symop_operation_xyz
'x,y,z'
loop_
_atom_site_label
_atom_site_type_symbol
_atom_site_fract_x
_atom_site_fract_y
_atom_site_fract_z
Rb1 Rb 0.2500 0.2500 0.0840
Rb2 Rb 0.7500 0.7500 0.9160
Sn1 Sn 0.0558 0.2500 0.5837
Sn2 Sn 0.2500 0.5979 0.8707
Sn3 Sn 0.2500 0.9021 0.8707
Sn4 Sn 0.4442 0.2500 0.5837
Sn5 Sn 0.5558 0.7500 0.4163
Sn6 Sn 0.7500 0.0979 0.1293
Sn7 Sn 0.7500 0.4021 0.1293
Sn8 Sn 0.9442 0.7500 0.4163
Te1 Te 0.0176 0.5555 0.2027
Te2 Te 0.0176 0.9445 0.2027
Te3 Te 0.2500 0.7500 0.5689
Te4 Te 0.4824 0.5555 0.2027
Te5 Te 0.4824 0.9445 0.2027
Te6 Te 0.5176 0.0555 0.7973
Te7 Te 0.5176 0.4445 0.7973
Te8 Te 0.7500 0.2500 0.4311
Te9 Te 0.9824 0.0555 0.7973
Te10 Te 0.9824 0.4445 0.7973
```

Formation energy without anion corrections, kcal/mol of atoms: -5.91
Distance to the lowest polymorph of the same formula, kcal/mol of atoms: 2.66
Magnetic moment, μB/cell: 0.0

---

No. 10
Crystalline Rb2Sn3Te5 at its relaxed geometry, computed with PBE.

```
data_Rb2Sn3Te5
_chemical_formula_sum 'Rb2 Sn3 Te5'
_space_group_name_H-M_alt 'P 1'
_space_group_IT_number 1
_cell_length_a 8.9656
_cell_length_b 8.9656
_cell_length_c 12.0318
_cell_angle_alpha 120.29
_cell_angle_beta 120.29
_cell_angle_gamma 29.79
loop_
_space_group_symop_operation_xyz
'x,y,z'
loop_
_atom_site_label
_atom_site_type_symbol
_atom_site_fract_x
_atom_site_fract_y
_atom_site_fract_z
Rb1 Rb 0.1747 0.1747 0.2504
Rb2 Rb 0.8253 0.8253 0.7496
Sn1 Sn 0.0000 0.0000 0.5000
Sn2 Sn 0.4360 0.4360 0.1823
Sn3 Sn 0.5640 0.5640 0.8177
Te1 Te 0.1640 0.1640 0.7994
Te2 Te 0.4017 0.4017 0.5659
Te3 Te 0.5000 0.5000 0.0000
Te4 Te 0.5983 0.5983 0.4341
Te5 Te 0.8360 0.8360 0.2006
```

Formation energy without anion corrections, kcal/mol of atoms: -11.92
Magnetic moment, μB/cell: 0.0